Density functional theory data (PBE-GGA) for crystalline PmMgPd at its relaxed geometry.

Lattice parameters (Å, degrees): 4.321 8.709 7.292 90.00 90.00 90.00
Fractional coordinates of all 12 atoms:
Pd (0.750, 0.879, 0.751)
Pm (0.750, 0.181, 0.542)
Mg (0.750, 0.940, 0.135)
Pm (0.750, 0.319, 0.042)
Mg (0.750, 0.560, 0.635)
Pm (0.250, 0.819, 0.458)
Pd (0.750, 0.621, 0.251)
Pd (0.250, 0.121, 0.249)
Mg (0.250, 0.060, 0.865)
Pd (0.250, 0.379, 0.749)
Pm (0.250, 0.681, 0.958)
Mg (0.250, 0.440, 0.365)

- space-group type = No. 62
- crystal system = orthorhombic
- E_form (eV/atom) = -0.65
- offset from the most stable computed form (meV per atom) = 0

---

Density functional theory data (PBE-GGA) for crystalline Pm4MgPd at its relaxed geometry.

Lattice parameters (Å, degrees): 10.021 10.021 10.021 60.00 60.00 60.00
Fractional coordinates of all 24 atoms:
Pm (0.400, 0.400, 0.400)
Pm (0.816, 0.184, 0.816)
Pm (0.559, 0.941, 0.941)
Pm (0.184, 0.184, 0.816)
Mg (0.171, 0.171, 0.488)
Pm (0.184, 0.816, 0.184)
Pm (0.941, 0.941, 0.559)
Pm (0.941, 0.559, 0.559)
Mg (0.488, 0.171, 0.171)
Pd (0.180, 0.607, 0.607)
Pm (0.816, 0.816, 0.184)
Mg (0.171, 0.488, 0.171)
Pm (0.184, 0.816, 0.816)
Pm (0.559, 0.559, 0.941)
Pd (0.607, 0.607, 0.180)
Pd (0.607, 0.607, 0.607)
Pm (0.816, 0.184, 0.184)
Pm (0.559, 0.941, 0.559)
Pd (0.607, 0.180, 0.607)
Pm (0.400, 0.400, 0.799)
Mg (0.171, 0.171, 0.171)
Pm (0.799, 0.400, 0.400)
Pm (0.941, 0.559, 0.941)
Pm (0.400, 0.799, 0.400)

- space-group type = No. 216
- crystal system = cubic
- E_form (eV/atom) = -0.32
- offset from the most stable computed form (meV per atom) = 0